Entry 1:
Y2VCrPb PBE relaxed; electronic total energy = -6.0963 eV per atom; space-group type = No. 123; formation energy from the elements = 4.9 eV per formula unit
1.0
5.076 0.000 0.000
0.000 5.132 0.000
0.000 0.000 5.076
Pb Y V Cr
1 2 1 1
direct
0.000 0.500 0.000
0.000 0.000 0.500
0.500 0.000 0.000
0.500 0.500 0.500
0.000 0.000 0.000



Entry 2:
YHo3ThSc PBE relaxed; electronic total energy = -5.6189 eV per atom; space-group type = No. 11; formation energy from the elements = 0.2 eV per formula unit
1.0
4.986 0.000 0.000
0.000 7.717 -1.167
0.000 -3.215 9.975
Y Ho Th Sc
2 6 2 2
direct
0.250 0.124 0.297
0.750 0.876 0.703
0.750 0.871 0.046
0.250 0.129 0.954
0.250 0.634 0.458
0.750 0.366 0.542
0.750 0.387 0.210
0.250 0.613 0.790
0.250 0.623 0.124
0.750 0.377 0.876
0.250 0.126 0.627
0.750 0.874 0.373



Entry 3:
Sm6HgTe3Pb2 PBE relaxed; raw formation energy = -11.514 eV per formula unit; electronic total energy = -4.7477 eV per atom; space-group type = No. 12
1.0
4.456 0.000 0.000
0.000 9.020 -0.042
-2.228 -2.979 9.462
Sm Hg Te Pb
6 1 3 2
direct
0.334 0.922 0.669
0.669 0.574 0.337
0.666 0.078 0.331
0.997 0.249 0.993
0.003 0.751 0.007
0.331 0.426 0.663
0.500 0.000 0.000
0.500 0.500 0.000
0.831 0.172 0.662
0.169 0.828 0.338
0.838 0.678 0.675
0.162 0.322 0.325



Entry 4:
HgB PBE relaxed; electronic total energy = -2.9546 eV per atom; space-group type = No. 194; offset from the most stable computed form = 0.056 eV per atom; formation energy from the elements = 1.1 eV per formula unit
1.0
10.195 0.000 0.000
-5.097 8.829 0.000
0.000 0.000 3.181
Hg B
6 6
direct
0.775 0.550 0.250
0.225 0.775 0.750
0.450 0.225 0.250
0.225 0.450 0.750
0.775 0.225 0.250
0.550 0.775 0.750
0.511 0.022 0.250
0.489 0.511 0.750
0.978 0.489 0.250
0.489 0.978 0.750
0.511 0.489 0.250
0.022 0.511 0.750



Entry 5:
Mg6AlCdO8 PBE relaxed; raw formation energy = -36.333 eV per formula unit; electronic total energy = -5.6390 eV per atom; space-group type = No. 123; offset from the most stable computed form = 0.047 eV per atom
1.0
-1.540 -0.717 -4.061
-0.754 -4.213 1.030
-8.009 2.085 2.669
Mg Al Cd O
6 1 1 8
direct
0.000 0.000 0.500
0.500 0.500 0.500
0.000 0.500 0.255
0.000 0.500 0.745
0.500 0.000 0.255
0.500 0.000 0.745
0.000 0.000 0.000
0.500 0.500 0.000
0.000 0.000 0.236
0.000 0.000 0.764
0.500 0.500 0.269
0.500 0.500 0.731
0.000 0.500 0.000
0.000 0.500 0.500
0.500 0.000 0.000
0.500 0.000 0.500



Entry 6:
HfRh3Br PBE relaxed; raw formation energy = 3.407 eV per formula unit; electronic total energy = -6.0548 eV per atom; space-group type = No. 221; offset from the most stable computed form = 0.000 eV per atom
1.0
4.577 0.000 0.000
0.000 4.577 0.000
0.000 0.000 4.577
Rh Hf Br
3 1 1
direct
0.000 0.500 0.000
0.000 0.000 0.500
0.500 0.000 0.000
0.500 0.500 0.500
0.000 0.000 0.000



- Which value of electronic total energy does entry 6 give?
  -6.0548 eV per atom